Entry 1:
5
Lattice="4.829 0.000 0.000 0.000 4.829 0.000 0.000 0.000 4.829" Properties=species:S:1:pos:R:3 comment="Zn3ReAg | the Alexandria database | PBE | optimized geometry" formation_enthalpy_0k_kj_per_mol_atoms=96.1 volume_a3_per_cell=113 e_above_lowest_polymorph_mev_per_atom=0.0 space_group="Pm-3m, No. 221" e_tot_ev_per_atom=-2.828 pbc="T T T"
Zn 0.000 0.000 2.415
Zn 0.000 2.415 0.000
Zn 2.415 0.000 0.000
Re 0.000 0.000 0.000
Ag 2.415 2.415 2.415

***

Entry 2:
4
Lattice="2.687 0.000 0.000 0.000 4.346 0.000 0.000 0.000 5.522" Properties=species:S:1:pos:R:3 comment="ZnReAg2 | the Alexandria database | PBE | optimized geometry" formation_enthalpy_0k_kj_per_mol_atoms=51.8 volume_a3_per_cell=64 space_group="Pmmm, No. 47" e_tot_ev_per_atom=-4.320 pbc="T T T"
Zn 0.000 0.000 0.000
Re 0.000 0.000 2.761
Ag 1.344 2.173 1.387
Ag 1.344 2.173 4.135

***

Entry 3:
4
Lattice="0.000 3.115 3.115 3.115 0.000 3.115 3.115 3.115 0.000" Properties=species:S:1:pos:R:3 comment="Zn2ReAg | the Alexandria database | PBE | optimized geometry" formation_enthalpy_0k_kj_per_mol_atoms=46.6 volume_a3_per_cell=60 e_above_lowest_polymorph_mev_per_atom=359.6 space_group="Fm-3m, No. 225" e_tot_ev_per_atom=-3.979 pbc="T T T"
Zn 1.557 1.557 1.557
Zn 4.672 4.672 4.672
Re 0.000 0.000 0.000
Ag 3.115 3.115 3.115

***

Entry 4:
4
Lattice="1.555 -2.231 0.000 1.555 2.231 0.000 0.000 0.000 9.268" Properties=species:S:1:pos:R:3 comment="ZnReAg2 | the Alexandria database | PBE | optimized geometry" formation_enthalpy_0k_kj_per_mol_atoms=28.9 volume_a3_per_cell=64 space_group="Cmm2, No. 35" e_tot_ev_per_atom=-4.557 pbc="T T T"
Zn 0.000 0.000 0.000
Re 1.555 0.000 7.122
Ag 0.000 0.000 4.707
Ag 1.555 0.000 2.255

***

Entry 5:
8
Lattice="-1.947 1.947 9.008 1.947 -1.947 9.008 1.947 1.947 -9.008" Properties=species:S:1:pos:R:3 comment="Zn2ReAg | the Alexandria database | PBE | optimized geometry" formation_enthalpy_0k_kj_per_mol_atoms=78.8 volume_a3_per_cell=137 e_above_lowest_polymorph_mev_per_atom=693.1 space_group="I-42d, No. 122" e_tot_ev_per_atom=-3.645 pbc="T T T"
Zn 2.921 0.903 -2.252
Zn 0.903 0.974 2.252
Zn -0.974 1.045 6.756
Zn 1.045 0.974 11.260
Re 0.000 0.000 0.000
Re 0.000 1.947 4.504
Ag 1.947 0.000 4.504
Ag 0.000 0.000 9.008

***

Entry 6:
4
Lattice="2.685 0.000 0.000 0.000 4.648 0.000 -0.798 0.000 5.153" Properties=species:S:1:pos:R:3 comment="ZnReAg2 | the Alexandria database | PBE | optimized geometry" formation_enthalpy_0k_kj_per_mol_atoms=49.0 volume_a3_per_cell=64 space_group="P2/m, No. 10" e_tot_ev_per_atom=-4.348 pbc="T T T"
Zn 0.000 0.000 0.000
Re 0.944 0.000 2.577
Ag -0.116 2.324 3.883
Ag 2.003 2.324 1.270

***

Entry 7:
4
Lattice="2.747 -4.861 0.000 2.747 4.861 0.000 -1.076 0.000 2.420" Properties=species:S:1:pos:R:3 comment="ZnReAg2 | the Alexandria database | PBE | optimized geometry" formation_enthalpy_0k_kj_per_mol_atoms=42.9 volume_a3_per_cell=65 space_group="C2/m, No. 12" e_tot_ev_per_atom=-4.411 pbc="T T T"
Zn 0.000 0.000 0.000
Re 2.747 0.000 0.000
Ag 0.835 2.431 1.210
Ag 0.835 -2.431 1.210

***

Entry 8:
4
Lattice="1.428 -2.341 0.000 1.428 2.341 0.000 0.000 0.000 9.670" Properties=species:S:1:pos:R:3 comment="ZnReAg2 | the Alexandria database | PBE | optimized geometry" formation_enthalpy_0k_kj_per_mol_atoms=36.4 volume_a3_per_cell=65 space_group="Cmmm, No. 65" e_tot_ev_per_atom=-4.479 pbc="T T T"
Zn 0.000 0.000 0.000
Re 0.000 0.000 4.835
Ag 1.428 0.000 2.339
Ag 1.428 0.000 7.331